[1]
# Cs2TlWBr6

An optimized crystal structure of Cs2TlWBr6 (PBE, the Alexandria database).

The structure in POSCAR format:
```
Cs2TlWBr6
1.0
7.8848 0.0000 0.0000
3.9424 6.8284 0.0000
3.9424 2.2761 15.4260
Br W Cs Tl
12 2 4 2
Cartesian
7.8848 2.1152 1.5301
6.0232 3.4775 6.2028
9.7464 3.4775 6.2028
7.8848 6.9893 13.8959
5.7742 5.7708 1.5301
5.7742 3.3338 13.8959
6.0231 5.6271 9.2232
7.8848 2.4026 9.2232
9.9953 3.3338 13.8959
7.8848 6.7019 6.2028
9.7464 5.6271 9.2232
9.9954 5.7708 1.5301
0.0000 0.0000 0.0000
7.8848 4.5523 7.7130
3.9424 2.2761 9.1481
3.9424 2.2761 1.2931
11.8272 6.8284 14.1329
11.8272 6.8284 6.2778
7.8848 4.5523 3.7890
7.8848 4.5523 11.6370
```

Values from the calculation:
For the formation energy (no corrections), the calculation gives -1013 meV/atom. Its offset from the most stable computed form is 0.0 meV/atom. The calculated volume comes out at 415 Å³/f.u.

---

[2]
# NaH2Au

An optimized crystal structure of NaH2Au (PBE, the Alexandria database).

The structure in POSCAR format:
```
NaH2Au
1.0
-0.2260 -1.9035 -3.1098
6.1542 1.3291 -1.2608
-0.6977 -4.5836 2.8562
Na Au H
2 2 4
Cartesian
1.1104 -3.6226 -1.0819
4.1201 -1.5354 -0.4325
1.2766 -0.2520 -1.0114
3.9539 -4.9059 -0.5031
5.0583 -1.7031 -2.5437
1.7865 -1.6132 -0.2153
3.4439 -3.5447 -1.2992
0.1721 -3.4548 1.0293
```

Values from the calculation:
Its offset from the most stable computed form is 0.0 meV/atom. The calculated volume comes out at 59 Å³/f.u.

---

[3]
# Ca2LaPd9

An optimized crystal structure of Ca2LaPd9 (PBE, the Alexandria database).

The structure in POSCAR format:
```
Ca2LaPd9
1.0
-4.8211 -2.2168 1.0639
-2.0507 -3.7432 -3.3274
1.7382 -8.4504 4.0338
Pd La Ca
9 1 2
Cartesian
-1.6972 -7.9107 3.3557
-2.8487 -12.4145 2.5180
-2.4053 -4.6176 0.0876
-3.4364 -6.4997 -1.5854
-2.5668 -7.2052 0.8851
-4.8293 -5.7322 0.6226
-2.7283 -9.7927 1.6827
-2.2849 -1.9959 -0.7477
-0.3043 -8.6781 1.1477
0.0000 0.0000 0.0000
-5.1635 -8.7007 -0.2332
0.0299 -5.7096 2.0034
```

Values from the calculation:
The calculated volume comes out at 228 Å³/f.u. The formation energy is -0.64 eV per atom.

---

[4]
# Ag5Cl6

An optimized crystal structure of Ag5Cl6 (PBE, the Alexandria database).

The structure in POSCAR format:
```
Ag5Cl6
1.0
-3.4776 6.1754 0.1886
-6.5141 -0.0396 -2.8922
1.0508 -1.3750 6.4344
Cl Ag
6 5
Cartesian
-2.5839 1.5398 -0.7123
-6.4735 1.0620 -0.4217
-2.4674 3.6990 4.1525
-3.9334 0.6285 2.6456
-5.0075 4.1325 1.0852
-7.4078 4.5961 -1.9913
-2.4614 2.6309 1.7281
-1.4464 -0.9144 3.2703
-4.0169 -0.5002 0.2719
-4.9959 3.0679 -1.3518
-6.4795 2.1300 2.0027
```

Values from the calculation:
For the formation energy (no corrections), the calculation gives -423 meV/atom. Its offset from the most stable computed form is 0.0 meV/atom. The calculated volume comes out at 256 Å³/f.u.

---

[5]
# CrCoBr4

An optimized crystal structure of CrCoBr4 (PBE, the Alexandria database).

The structure in POSCAR format:
```
CrCoBr4
1.0
3.0453 -4.9858 -2.1227
-3.1657 -4.8245 -2.3109
0.1541 -1.1835 -6.1003
Br Cr Co
4 1 1
Cartesian
0.0126 -4.1248 -3.9522
-1.5678 -6.5333 -5.1059
0.0895 -4.7156 -6.9977
1.5329 -6.6138 -5.0120
0.0000 0.0000 0.0000
0.0252 -8.2453 -7.9004
```

Values from the calculation:
For the formation energy (no corrections), the calculation gives 1223 meV/atom. The calculated volume comes out at 170 Å³/f.u.

---

[6]
# GdPaRh

An optimized crystal structure of GdPaRh (PBE, the Alexandria database).

The structure in POSCAR format:
```
GdPaRh
1.0
-4.0757 -0.4874 -2.4880
-0.7977 -3.9932 -2.5410
-3.3327 -3.1379 1.4441
Gd Rh Pa
1 1 1
Cartesian
0.0000 0.0000 0.0000
-2.0515 -1.9046 -0.8962
-4.1030 -3.8093 -1.7924
```

Values from the calculation:
Its offset from the most stable computed form is 303.3 meV/atom. The calculated volume comes out at 78 Å³/f.u. The formation energy is -0.15 eV per atom.

---

[7]
# La4Tl2Bi

An optimized crystal structure of La4Tl2Bi (PBE, the Alexandria database).

The structure in POSCAR format:
```
La4Tl2Bi
1.0
-0.1406 3.7394 4.8077
-5.6872 -1.8019 1.2352
-0.0782 -4.8317 7.6159
Tl La Bi
2 4 1
Cartesian
-2.3231 -0.2397 3.9787
-3.5829 -2.6545 9.6802
-4.6959 -0.3778 7.8769
-1.2101 -2.5164 5.7820
-0.0703 1.8697 2.4039
-2.8436 -0.9010 0.6176
0.0000 0.0000 0.0000
```

Values from the calculation:
Its offset from the most stable computed form is 384.0 meV/atom. The calculated volume comes out at 294 Å³/f.u. The formation energy is -0.16 eV per atom.

---

[8]
# BeRh2

An optimized crystal structure of BeRh2 (PBE, the Alexandria database).

The structure in POSCAR format:
```
BeRh2
1.0
1.3691 4.6555 -0.0190
-1.3691 4.6555 -0.0190
0.0000 0.8394 5.8128
Rh Be
4 2
Cartesian
0.0000 9.2638 3.3971
0.0000 5.7185 1.4096
0.0000 3.7670 5.6628
0.0000 6.7796 3.9612
0.0000 1.0493 5.6019
0.0000 3.0208 2.1425
```

Values from the calculation:
The calculated volume comes out at 37 Å³/f.u. The formation energy is -0.27 eV per atom.

---

[9]
# Ta4Te

An optimized crystal structure of Ta4Te (PBE, the Alexandria database).

The structure in POSCAR format:
```
Ta4Te
1.0
3.6063 2.9845 2.8781
-4.5369 -3.0666 0.4573
3.4074 -4.2049 -0.9513
Ta Te
4 1
Cartesian
-0.0919 -2.4053 1.7137
0.6665 -4.6178 0.0724
1.8103 0.3309 2.3117
2.5687 -1.8817 0.6704
0.0000 0.0000 0.0000
```

Values from the calculation:
For the formation energy (no corrections), the calculation gives 82 meV/atom. Its offset from the most stable computed form is 0.0 meV/atom. The calculated volume comes out at 94 Å³/f.u.

---

[10]
# Ba2HgBi

An optimized crystal structure of Ba2HgBi (PBE, the Alexandria database).

The structure in POSCAR format:
```
Ba2HgBi
1.0
-3.1394 -3.4454 2.2605
-1.4916 -2.7552 -6.2708
7.8002 -4.4255 4.0878
Hg Ba Bi
2 4 2
Cartesian
4.2535 -4.8762 1.4431
-1.0843 -5.7499 -1.3657
4.5686 -7.3351 4.0689
-1.3994 -3.2910 -3.9915
0.7026 -5.1546 2.0233
2.4666 -5.4715 -1.9458
2.8169 -7.9041 0.7689
0.3523 -2.7220 -0.6915
```

Values from the calculation:
Its offset from the most stable computed form is 18.9 meV/atom. The calculated volume comes out at 167 Å³/f.u. The formation energy is -0.72 eV per atom.

---

[11]
# Ca2TlPd5

An optimized crystal structure of Ca2TlPd5 (PBE, the Alexandria database).

The structure in POSCAR format:
```
Ca2TlPd5
1.0
6.1612 -0.0001 -0.0002
0.0001 6.1612 -0.0002
-3.0805 -3.0805 3.9049
Ca Pd Tl
2 5 1
Cartesian
3.0806 0.0001 1.7346
0.0001 3.0806 1.7346
1.5415 -1.5413 3.6870
-1.5412 1.5415 3.6869
1.5415 1.5414 3.6869
-1.5413 -1.5413 3.6870
3.0807 3.0806 1.7334
0.0000 0.0000 1.7362
```

Values from the calculation:
The calculated volume comes out at 148 Å³/f.u. The formation energy is -0.53 eV per atom.

---

[12]
# MnMo2Os

An optimized crystal structure of MnMo2Os (PBE, the Alexandria database).

The structure in POSCAR format:
```
MnMo2Os
1.0
9.2567 0.0111 0.0065
8.8465 2.7250 0.0065
8.8465 1.3370 2.3744
Mn Mo Os
1 2 1
Cartesian
20.2677 3.0632 1.7954
0.0961 0.0145 0.0085
6.6327 1.0024 0.5876
13.4281 2.0295 1.1896
```

Values from the calculation:
Its offset from the most stable computed form is 163.9 meV/atom. The calculated volume comes out at 60 Å³/f.u. The formation energy is 0.25 eV per atom.